# 1
VASP calculation (PBE-GGA) on a geometry-optimized Ba3In3Ag2 structure.

Values from the calculation:
**E_tot**: -2.7898 eV per atom
**Crystal system**: triclinic
**ΔE to the lowest computed polymorph**: 12.4 meV/atom
**Calculated formation energy**: -0.3290 eV/atom
**Magnetization**: 0.00 μB/atom

Cell and atoms, written as POSCAR:
```
Ba3In3Ag2
1.0
4.7051 0.0000 0.0000
0.0041 6.1104 0.0000
2.3523 1.8519 9.6279
Ba In Ag
3 3 2
direct
0.0000 0.0000 0.0000
0.1520 0.5746 0.6964
0.8480 0.4254 0.3036
0.3568 0.9180 0.2872
0.5000 0.5000 0.0000
0.6432 0.0820 0.7128
0.2261 0.1078 0.5472
0.7739 0.8922 0.4528
```



# 2
VASP calculation (PBE-GGA) on a geometry-optimized SrCd2W structure.

Values from the calculation:
**E_tot**: -3.0802 eV per atom
**Crystal system**: tetragonal
**ΔE to the lowest computed polymorph**: 481.5 meV/atom
**Calculated formation energy**: 1.0362 eV/atom
**Magnetization**: 0.70 μB/atom

Cell and atoms, written as POSCAR:
```
SrCd2W
1.0
-2.4633 2.4633 10.0076
2.4633 -2.4633 10.0076
2.4633 2.4633 -10.0076
Sr Cd W
2 4 2
direct
0.0000 0.0000 0.0000
0.7500 0.2500 0.5000
0.2371 0.6250 0.1121
0.3750 0.4871 0.6121
0.5129 0.1250 0.8879
0.8750 0.7629 0.3879
0.2500 0.7500 0.5000
0.5000 0.5000 0.0000
```



# 3
VASP calculation (PBE-GGA) on a geometry-optimized MgTl2Pd5Au2 structure.

Values from the calculation:
**E_tot**: -4.0435 eV per atom
**Crystal system**: tetragonal
**Calculated formation energy**: -0.1589 eV/atom
**Magnetization**: 0.00 μB/atom

Cell and atoms, written as POSCAR:
```
MgTl2Pd5Au2
1.0
9.8893 0.0000 0.0000
0.0000 9.8893 0.0000
0.0000 0.0000 3.8578
Mg Tl Pd Au
2 4 10 4
direct
0.0000 0.0000 0.0000
0.5000 0.5000 0.0000
0.1579 0.3421 0.0000
0.3421 0.8421 0.0000
0.6579 0.1579 0.0000
0.8421 0.6579 0.0000
0.0000 0.5000 0.5000
0.0125 0.7994 0.5000
0.2006 0.0125 0.5000
0.2994 0.5125 0.5000
0.4875 0.2994 0.5000
0.5000 0.0000 0.5000
0.5125 0.7006 0.5000
0.7006 0.4875 0.5000
0.7994 0.9875 0.5000
0.9875 0.2006 0.5000
0.1469 0.6469 0.0000
0.3531 0.1469 0.0000
0.6469 0.8531 0.0000
0.8531 0.3531 0.0000
```



# 4
VASP calculation (PBE-GGA) on a geometry-optimized La2CeTc structure.

Values from the calculation:
**E_tot**: -6.3071 eV per atom
**Crystal system**: trigonal
**ΔE to the lowest computed polymorph**: 340.5 meV/atom
**Calculated formation energy**: 0.2316 eV/atom
**Magnetization**: 0.15 μB/atom

Cell and atoms, written as POSCAR:
```
La2CeTc
1.0
2.3942 1.3823 5.1721
-2.3942 1.3823 5.1721
0.0000 -2.7646 5.1721
La Ce Tc
2 1 1
direct
0.2376 0.2376 0.2376
0.7624 0.7624 0.7624
0.0000 0.0000 0.0000
0.5000 0.5000 0.5000
```



# 5
VASP calculation (PBE-GGA) on a geometry-optimized Ca3PdS structure.

Values from the calculation:
**E_tot**: -3.8163 eV per atom
**Crystal system**: cubic
**ΔE to the lowest computed polymorph**: 0.0 meV/atom
**Formation energy (no corrections)**: -751 meV per atom
**Magnetization**: 0.00 μB/atom

Cell and atoms, written as POSCAR:
```
Ca3PdS
1.0
5.2885 0.0000 0.0000
0.0000 5.2885 0.0000
0.0000 0.0000 5.2885
Ca Pd S
3 1 1
direct
0.0000 0.0000 0.5000
0.0000 0.5000 0.0000
0.5000 0.0000 0.0000
0.5000 0.5000 0.5000
0.0000 0.0000 0.0000
```



# 6
VASP calculation (PBE-GGA) on a geometry-optimized TaTi3N structure.

Values from the calculation:
**E_tot**: -6.7166 eV per atom
**Crystal system**: cubic
**ΔE to the lowest computed polymorph**: 2771.2 meV/atom
**Formation energy (no corrections)**: 2056 meV per atom
**Magnetization**: 0.47 μB/atom

Cell and atoms, written as POSCAR:
```
TaTi3N
1.0
4.7766 0.0000 0.0000
0.0000 4.7766 0.0000
0.0000 0.0000 4.7766
Ta Ti N
1 3 1
direct
0.0000 0.0000 0.0000
0.0000 0.0000 0.5000
0.0000 0.5000 0.0000
0.5000 0.0000 0.0000
0.5000 0.5000 0.5000
```



> E_tot of number 6 (TaTi3N)?

-6.7166 eV per atom



> Which value of magnetization does entry 1 give?

0.00 μB/atom



> Which of these has the highest E_tot?

Ba3In3Ag2



Please write out number 6 again, unchanged.
VASP calculation (PBE-GGA) on a geometry-optimized TaTi3N structure.

Values from the calculation:
**E_tot**: -6.7166 eV per atom
**Crystal system**: cubic
**ΔE to the lowest computed polymorph**: 2771.2 meV/atom
**Formation energy (no corrections)**: 2056 meV per atom
**Magnetization**: 0.47 μB/atom

Cell and atoms, written as POSCAR:
```
TaTi3N
1.0
4.7766 0.0000 0.0000
0.0000 4.7766 0.0000
0.0000 0.0000 4.7766
Ta Ti N
1 3 1
direct
0.0000 0.0000 0.0000
0.0000 0.0000 0.5000
0.0000 0.5000 0.0000
0.5000 0.0000 0.0000
0.5000 0.5000 0.5000
```